DFT (PBE) results for CrTc2Br after structural relaxation.

Cell: 5.016 5.016 4.379 Å, 88.31 88.31 34.38°
Positions (direct):
Br 0.502 0.502 0.510
Tc 0.276 0.276 0.199
Tc 0.002 0.002 0.003
Cr 0.720 0.720 0.789

Values from the calculation:
Fermi-level density of states ... 4.289 states/eV/f.u.
SG ... Cm (8)
Energy above the most stable polymorph in this dataset ... 272.2 meV per atom
V ... 62.2 Å³/f.u.
Uncorrected formation energy ... 3.0 eV/f.u.